Entry 1:
VASP calculation (PBE) on an optimized crystal structure of Pr2PtI.

The structure in CIF format:
```
data_Pr2PtI
_chemical_formula_sum 'Pr2 Pt1 I1'
_cell_length_a 3.665
_cell_length_b 3.665
_cell_length_c 8.487
_cell_angle_alpha 90.00
_cell_angle_beta 90.00
_cell_angle_gamma 90.00
_symmetry_space_group_name_H-M 'P 4/m m m'
_symmetry_Int_Tables_number 123
_symmetry_space_group_name_Hall '-P 4 2'
loop_
_atom_site_label
_atom_site_type_symbol
_atom_site_fract_x
_atom_site_fract_y
_atom_site_fract_z
_atom_site_occupancy
Pr1 Pr 0.000 0.000 0.207 1
Pt1 Pt 0.500 0.500 0.000 1
I1 I 0.500 0.500 0.500 1
```

Calculated values
- Spin magnetization: 0.0 μB per cell
- Calculated total energy: -20.7 eV for the cell shown

=====

Entry 2:
VASP calculation (PBE) on an optimized crystal structure of Pr6PtI12.

The structure in CIF format:
```
data_Pr6PtI12
_chemical_formula_sum 'Pr18 Pt3 I36'
_cell_length_a 11.3468
_cell_length_b 11.3468
_cell_length_c 19.7136
_cell_angle_alpha 90.00
_cell_angle_beta 90.00
_cell_angle_gamma 120.00
_symmetry_space_group_name_H-M 'R -3 m'
_symmetry_Int_Tables_number 166
_symmetry_space_group_name_Hall '-R 3 2"'
loop_
_atom_site_label
_atom_site_type_symbol
_atom_site_fract_x
_atom_site_fract_y
_atom_site_fract_z
_atom_site_occupancy
Pr1 Pr 0.0602 0.5301 0.2515 1
Pt1 Pt 0.0000 0.0000 0.5000 1
I1 I 0.0263 0.5131 0.9050 1
I2 I 0.0828 0.5414 0.5924 1
```

Calculated values
- Spin magnetization: 0.0 μB per cell
- Calculated total energy: -224.8 eV for the cell shown

=====

Entry 3:
VASP calculation (PBE) on an optimized crystal structure of PrPtI.

The structure in CIF format:
```
data_PrPtI
_chemical_formula_sum 'Pr4 Pt4 I4'
_cell_length_a 7.440
_cell_length_b 4.294
_cell_length_c 13.318
_cell_angle_alpha 90.00
_cell_angle_beta 102.12
_cell_angle_gamma 90.00
_symmetry_space_group_name_H-M 'C 1 2/m 1'
_symmetry_Int_Tables_number 12
loop_
_symmetry_equiv_pos_as_xyz
'x,y,z'
'-x,-y,-z'
'-x,y,-z'
'x,-y,z'
'x+1/2,y+1/2,z'
'-x+1/2,-y+1/2,-z'
'-x+1/2,y+1/2,-z'
'x+1/2,-y+1/2,z'
loop_
_atom_site_label
_atom_site_type_symbol
_atom_site_fract_x
_atom_site_fract_y
_atom_site_fract_z
_atom_site_occupancy
Pr1 Pr 0.100 0.000 0.322 1
Pt1 Pt 0.188 0.000 0.557 1
I1 I 0.129 0.500 0.845 1
```

Calculated values
- Spin magnetization: 0.0 μB per cell
- Calculated total energy: -62.5 eV for the cell shown

=====

Entry 4:
VASP calculation (PBE) on an optimized crystal structure of Pr4Pt2I3.

The structure in CIF format:
```
data_Pr4Pt2I3
_chemical_formula_sum 'Pr8 Pt4 I6'
_cell_length_a 7.417
_cell_length_b 4.282
_cell_length_c 19.983
_cell_angle_alpha 90.00
_cell_angle_beta 90.05
_cell_angle_gamma 90.00
_symmetry_space_group_name_H-M 'C 1 2/m 1'
_symmetry_Int_Tables_number 12
loop_
_symmetry_equiv_pos_as_xyz
'x,y,z'
'-x,-y,-z'
'-x,y,-z'
'x,-y,z'
'x+1/2,y+1/2,z'
'-x+1/2,-y+1/2,-z'
'-x+1/2,y+1/2,-z'
'x+1/2,-y+1/2,z'
loop_
_atom_site_label
_atom_site_type_symbol
_atom_site_fract_x
_atom_site_fract_y
_atom_site_fract_z
_atom_site_occupancy
Pr1 Pr 0.001 0.000 0.288 1
Pr2 Pr 0.166 0.500 0.872 1
Pt1 Pt 0.167 0.500 0.203 1
I1 I 0.000 0.000 0.000 1
I2 I 0.166 0.500 0.602 1
```

Calculated values
- Spin magnetization: 0.0 μB per cell
- Calculated total energy: -93.2 eV for the cell shown

=====

Entry 5:
VASP calculation (PBE) on an optimized crystal structure of Pr2PtI.

The structure in CIF format:
```
data_Pr2PtI
_chemical_formula_sum 'Pr6 Pt3 I3'
_cell_length_a 4.3092
_cell_length_b 4.3092
_cell_length_c 24.4653
_cell_angle_alpha 90.00
_cell_angle_beta 90.00
_cell_angle_gamma 120.00
_symmetry_space_group_name_H-M 'R -3 m'
_symmetry_Int_Tables_number 166
_symmetry_space_group_name_Hall '-R 3 2"'
loop_
_atom_site_label
_atom_site_type_symbol
_atom_site_fract_x
_atom_site_fract_y
_atom_site_fract_z
_atom_site_occupancy
Pr1 Pr 0.0000 0.0000 0.2289 1
Pt1 Pt 0.0000 0.0000 0.5000 1
I1 I 0.0000 0.0000 0.0000 1
```

Calculated values
- Spin magnetization: 0.0 μB per cell
- Calculated total energy: -64.8 eV for the cell shown

=====

Entry 6:
VASP calculation (PBE) on an optimized crystal structure of Pr4PtI.

The structure in CIF format:
```
data_Pr4PtI
_chemical_formula_sum 'Pr16 Pt4 I4'
_cell_length_a 8.674
_cell_length_b 16.230
_cell_length_c 7.247
_cell_angle_alpha 90.00
_cell_angle_beta 122.89
_cell_angle_gamma 90.00
_symmetry_space_group_name_H-M 'C 1 2/c 1'
_symmetry_Int_Tables_number 15
loop_
_symmetry_equiv_pos_as_xyz
'x,y,z'
'-x,-y,-z'
'-x,y,-z+1/2'
'x,-y,z+1/2'
'x+1/2,y+1/2,z'
'-x+1/2,-y+1/2,-z'
'-x+1/2,y+1/2,-z+1/2'
'x+1/2,-y+1/2,z+1/2'
loop_
_atom_site_label
_atom_site_type_symbol
_atom_site_fract_x
_atom_site_fract_y
_atom_site_fract_z
_atom_site_occupancy
Pr1 Pr 0.203 0.070 0.214 1
Pr2 Pr 0.232 0.202 0.749 1
Pt1 Pt 0.000 0.072 0.750 1
I1 I 0.000 0.438 0.250 1
```

Calculated values
- Spin magnetization: 0.0 μB per cell
- Calculated total energy: -120.0 eV for the cell shown